This record from Alexandria describes Hf2Sc2Ni after structural relaxation. The functional is PBE-GGA.

a b c (Å): 6.5423 6.5423 4.8868
angles (deg): 90.00 90.00 90.00
Space group P4/mbm (No. 127)
Asymmetric unit:
Hf  0.1579  0.3421  0.0000 (multiplicity 4)
Sc  0.1530  0.6530  0.5000 (multiplicity 4)
Ni  0.0000  0.0000  0.5000 (multiplicity 2)

The final energy comes out at -7.5588 eV/atom. The calculation puts the polymorph energy (0 for the lowest one) at 62 meV/atom. The density of states at the Fermi level comes out at 5.2 states/eV/f.u.

***

This record from Alexandria describes NaCa2NiPt after structural relaxation. The functional is PBE-GGA.

a b c (Å): 5.4473 5.4473 4.3198
angles (deg): 90.00 90.00 90.00
Space group P4/mmm (No. 123)
Asymmetric unit:
Na  0.0000  0.0000  0.0000 (multiplicity 1)
Ca  0.0000  0.5000  0.0000 (multiplicity 2)
Ni  0.0000  0.0000  0.5000 (multiplicity 1)
Pt  0.5000  0.5000  0.5000 (multiplicity 1)

The final energy comes out at -2.7352 eV/atom. The density of states at the Fermi level comes out at 2.4 states/eV/f.u.

***

This record from Alexandria describes Hf2PBrN after structural relaxation. The functional is PBE-GGA.

a b c (Å): 4.9434 4.9434 3.8386
angles (deg): 90.00 90.00 90.00
Space group P4/mmm (No. 123)
Asymmetric unit:
Hf  0.0000  0.5000  0.0000 (multiplicity 2)
P  0.0000  0.0000  0.5000 (multiplicity 1)
Br  0.5000  0.5000  0.0000 (multiplicity 1)
N  0.5000  0.5000  0.5000 (multiplicity 1)

The final energy comes out at -6.0187 eV/atom. The density of states at the Fermi level comes out at 3.5 states/eV/f.u. The uncorrected formation energy comes out at 1044.3 meV/atom.

***

This record from Alexandria describes Ac2Tl3Ga2 after structural relaxation. The functional is PBE-GGA.

a b c (Å): 11.9012 4.8012 7.3997
angles (deg): 90.00 106.32 90.00
Space group C2/m (No. 12)
Asymmetric unit:
Ac  0.1353  0.0000  0.2660 (multiplicity 4)
Tl  0.0000  0.5000  0.5000 (multiplicity 2)
Tl  0.1700  0.0000  0.7750 (multiplicity 4)
Ga  0.0859  0.5000  0.9244 (multiplicity 4)

The final energy comes out at -3.4254 eV/atom. The density of states at the Fermi level comes out at 3.0 states/eV/f.u.

***

This record from Alexandria describes Ta2BeGaW after structural relaxation. The functional is PBE-GGA.

a b c (Å): 4.4258 4.4258 4.1766
angles (deg): 90.00 90.00 90.00
Space group P4/mmm (No. 123)
Asymmetric unit:
Ta  0.0000  0.5000  0.0000 (multiplicity 2)
Be  0.0000  0.0000  0.0000 (multiplicity 1)
Ga  0.5000  0.5000  0.5000 (multiplicity 1)
W  0.0000  0.0000  0.5000 (multiplicity 1)

The final energy comes out at -8.1336 eV/atom. The density of states at the Fermi level comes out at 3.7 states/eV/f.u.

***

This record from Alexandria describes Zr2HPtAu after structural relaxation. The functional is PBE-GGA.

a b c (Å): 4.3396 4.3396 4.1652
angles (deg): 90.00 90.00 90.00
Space group P4/mmm (No. 123)
Asymmetric unit:
Zr  0.0000  0.5000  0.0000 (multiplicity 2)
H  0.0000  0.0000  0.0000 (multiplicity 1)
Pt  0.5000  0.5000  0.5000 (multiplicity 1)
Au  0.0000  0.0000  0.5000 (multiplicity 1)

The final energy comes out at -6.4808 eV/atom. The calculation puts the polymorph energy (0 for the lowest one) at 39 meV/atom. The density of states at the Fermi level comes out at 4.4 states/eV/f.u.

***

This record from Alexandria describes LaReAsSe2 after structural relaxation. The functional is PBE-GGA.

a b c (Å): 5.6489 5.6489 5.9057
angles (deg): 90.00 90.00 90.00
Space group P4/mmm (No. 123)
Asymmetric unit:
La  0.0000  0.0000  0.0000 (multiplicity 1)
Re  0.5000  0.5000  0.5000 (multiplicity 1)
As  0.0000  0.0000  0.5000 (multiplicity 1)
Se  0.0000  0.5000  0.0000 (multiplicity 2)

The final energy comes out at -4.6771 eV/atom. The density of states at the Fermi level comes out at 6.1 states/eV/f.u. The uncorrected formation energy comes out at 1121.7 meV/atom.

***

This record from Alexandria describes DyAlPt after structural relaxation. The functional is PBE-GGA.

a b c (Å): 6.9071 4.4260 7.7557
angles (deg): 90.00 90.00 90.00
Space group Pnma (No. 62)
Asymmetric unit:
Dy  0.0280  0.2500  0.1822 (multiplicity 4)
Al  0.1463  0.2500  0.5646 (multiplicity 4)
Pt  0.2271  0.7500  0.3853 (multiplicity 4)

The final energy comes out at -5.9604 eV/atom. The density of states at the Fermi level comes out at 1.7 states/eV/f.u.

***

This record from Alexandria describes TiPd12Pt6 after structural relaxation. The functional is PBE-GGA.

a b c (Å): 9.5201 9.5201 11.6275
angles (deg): 90.00 90.00 120.00
Space group R-3 (No. 148, hexagonal axes)
Asymmetric unit:
Ti  0.0000  0.0000  0.0000 (multiplicity 3)
Pd  0.0332  0.8494  0.8095 (multiplicity 18)
Pd  0.0646  0.2205  0.4145 (multiplicity 18)
Pt  0.0289  0.5852  0.7029 (multiplicity 18)

The final energy comes out at -5.6980 eV/atom. The density of states at the Fermi level comes out at 31.5 states/eV/f.u.

***

This record from Alexandria describes TaAlIn2 after structural relaxation. The functional is PBE-GGA.

a b c (Å): 3.1316 5.0924 10.1624
angles (deg): 90.00 90.00 90.00
Space group Imm2 (No. 44)
Asymmetric unit:
Ta  0.0000  0.0000  0.0000 (multiplicity 2)
Al  0.0000  0.5000  0.7200 (multiplicity 2)
In  0.0000  0.0000  0.4722 (multiplicity 2)
In  0.0000  0.5000  0.2431 (multiplicity 2)

The final energy comes out at -5.0480 eV/atom. The density of states at the Fermi level comes out at 1.6 states/eV/f.u.

***

This record from Alexandria describes Zr8HgN2 after structural relaxation. The functional is PBE-GGA.

a b c (Å): 12.8057 6.5882 5.7477
angles (deg): 90.00 98.31 90.00
Space group C2/m (No. 12)
Asymmetric unit:
Zr  0.0983  0.2340  0.2000 (multiplicity 8)
Zr  0.1540  0.0000  0.7187 (multiplicity 4)
Zr  0.1955  0.5000  0.7881 (multiplicity 4)
Hg  0.0000  0.5000  0.5000 (multiplicity 2)
N  0.1823  0.5000  0.1503 (multiplicity 4)

The final energy comes out at -8.0569 eV/atom. The density of states at the Fermi level comes out at 10.3 states/eV/f.u. The uncorrected formation energy comes out at -298.9 meV/atom.

***

This record from Alexandria describes Ba3ZnOs after structural relaxation. The functional is PBE-GGA.

a b c (Å): 5.9930 5.9930 5.9930
angles (deg): 90.00 90.00 90.00
Space group Pm-3m (No. 221)
Asymmetric unit:
Ba  0.0000  0.0000  0.5000 (multiplicity 3)
Zn  0.5000  0.5000  0.5000 (multiplicity 1)
Os  0.0000  0.0000  0.0000 (multiplicity 1)

The final energy comes out at -3.2171 eV/atom. The calculation puts the polymorph energy (0 for the lowest one) at 0 meV/atom. The density of states at the Fermi level comes out at 6.8 states/eV/f.u.

***

This record from Alexandria describes Ca3DyHo3S8 after structural relaxation. The functional is PBE-GGA.

a b c (Å): 7.8511 7.8511 19.6148
angles (deg): 90.00 90.00 120.00
Space group R-3m (No. 166, hexagonal axes)
Asymmetric unit:
Ca  0.0000  0.5000  0.0000 (multiplicity 9)
Dy  0.0000  0.0000  0.5000 (multiplicity 3)
Ho  0.0000  0.5000  0.5000 (multiplicity 9)
S  0.0000  0.0000  0.2475 (multiplicity 6)
S  0.0004  0.5002  0.2460 (multiplicity 18)

The final energy comes out at -5.9121 eV/atom. The density of states at the Fermi level comes out at 4.3 states/eV/f.u. The uncorrected formation energy comes out at -2088.1 meV/atom.

***

This record from Alexandria describes CsTlBiI6 after structural relaxation. The functional is PBE-GGA.

a b c (Å): 8.2538 8.2538 8.4234
angles (deg): 90.00 90.00 120.00
Space group P312 (No. 149)
Asymmetric unit:
Cs  0.0000  0.0000  0.0000 (multiplicity 1)
Tl  0.6667  0.3333  0.5000 (multiplicity 1)
Bi  0.3333  0.6667  0.5000 (multiplicity 1)
I  0.0134  0.3889  0.7236 (multiplicity 6)

The final energy comes out at -2.4691 eV/atom. The density of states at the Fermi level comes out at 6.3 states/eV/f.u. The uncorrected formation energy comes out at -646.7 meV/atom.

***

This record from Alexandria describes KRb2Si after structural relaxation. The functional is PBE-GGA.

a b c (Å): 5.5749 5.5749 25.2940
angles (deg): 90.00 90.00 90.00
Space group I-42d (No. 122)
Asymmetric unit:
K  0.0000  0.0000  0.0000 (multiplicity 4)
Rb  0.2203  0.2500  0.6250 (multiplicity 8)
Si  0.0000  0.0000  0.5000 (multiplicity 4)

The final energy comes out at -1.6110 eV/atom. The density of states at the Fermi level comes out at 2.7 states/eV/f.u. The uncorrected formation energy comes out at 502.9 meV/atom.

***

This record from Alexandria describes V2BP after structural relaxation. The functional is PBE-GGA.

a b c (Å): 5.6222 5.6222 5.6222
angles (deg): 90.00 90.00 90.00
Space group Fm-3m (No. 225)
Asymmetric unit:
V  0.2500  0.2500  0.2500 (multiplicity 8)
B  0.0000  0.0000  0.0000 (multiplicity 4)
P  0.0000  0.0000  0.5000 (multiplicity 4)

The final energy comes out at -7.6258 eV/atom. The calculation puts the polymorph energy (0 for the lowest one) at 580 meV/atom. The density of states at the Fermi level comes out at 5.8 states/eV/f.u.

***

This record from Alexandria describes ScFe2Ni after structural relaxation. The functional is PBE-GGA.

a b c (Å): 2.8738 3.2068 6.0552
angles (deg): 90.00 90.00 90.00
Space group Pmmm (No. 47)
Asymmetric unit:
Sc  0.0000  0.0000  0.0000 (multiplicity 1)
Fe  0.5000  0.5000  0.2880 (multiplicity 2)
Ni  0.0000  0.0000  0.5000 (multiplicity 1)

The final energy comes out at -7.1997 eV/atom. The density of states at the Fermi level comes out at 4.9 states/eV/f.u.

***

This record from Alexandria describes Ac2LaPb3 after structural relaxation. The functional is PBE-GGA.

a b c (Å): 4.8802 6.7978 14.2197
angles (deg): 90.00 90.00 90.00
Space group Immm (No. 71)
Asymmetric unit:
Ac  0.0000  0.0000  0.1708 (multiplicity 4)
La  0.0000  0.0000  0.5000 (multiplicity 2)
Pb  0.0000  0.5000  0.1562 (multiplicity 4)
Pb  0.0000  0.5000  0.5000 (multiplicity 2)

The final energy comes out at -4.4541 eV/atom. The calculation puts the polymorph energy (0 for the lowest one) at 89 meV/atom. The density of states at the Fermi level comes out at 6.9 states/eV/f.u.

***

This record from Alexandria describes AgSb after structural relaxation. The functional is PBE-GGA.

a b c (Å): 6.2681 6.2681 6.2681
angles (deg): 90.00 90.00 90.00
Space group F-43m (No. 216)
Asymmetric unit:
Ag  0.0000  0.0000  0.0000 (multiplicity 4)
Sb  0.2500  0.2500  0.2500 (multiplicity 4)

The final energy comes out at -3.0774 eV/atom. The calculation puts the polymorph energy (0 for the lowest one) at 330 meV/atom. The density of states at the Fermi level comes out at 1.7 states/eV/f.u. The uncorrected formation energy comes out at 409.4 meV/atom.

***

This record from Alexandria describes LiLuAlPb after structural relaxation. The functional is PBE-GGA.

a b c (Å): 7.1505 7.1505 7.1505
angles (deg): 90.00 90.00 90.00
Space group F-43m (No. 216)
Asymmetric unit:
Li  0.0000  0.0000  0.0000 (multiplicity 4)
Lu  0.0000  0.0000  0.5000 (multiplicity 4)
Al  0.2500  0.2500  0.7500 (multiplicity 4)
Pb  0.2500  0.2500  0.2500 (multiplicity 4)

The final energy comes out at -3.6552 eV/atom. The density of states at the Fermi level comes out at 2.0 states/eV/f.u.

***

This record from Alexandria describes TiTc2SnF after structural relaxation. The functional is PBE-GGA.

a b c (Å): 5.0811 5.0811 4.1094
angles (deg): 90.00 90.00 90.00
Space group P4/mmm (No. 123)
Asymmetric unit:
Ti  0.0000  0.0000  0.0000 (multiplicity 1)
Tc  0.0000  0.5000  0.5000 (multiplicity 2)
Sn  0.5000  0.5000  0.5000 (multiplicity 1)
F  0.5000  0.5000  0.0000 (multiplicity 1)

The final energy comes out at -6.0145 eV/atom. The calculation puts the polymorph energy (0 for the lowest one) at 0 meV/atom. The density of states at the Fermi level comes out at 3.4 states/eV/f.u. The uncorrected formation energy comes out at 885.7 meV/atom.

***

This record from Alexandria describes Rb2PmTlS4 after structural relaxation. The functional is PBE-GGA.

a b c (Å): 11.8985 12.4960 8.5847
angles (deg): 90.00 133.52 90.00
Space group C2/c (No. 15)
Asymmetric unit:
Rb  0.0000  0.0000  0.0000 (multiplicity 4)
Rb  0.2500  0.2500  0.0000 (multiplicity 4)
Pm  0.0000  0.5000  0.0000 (multiplicity 4)
Tl  0.2500  0.2500  0.5000 (multiplicity 4)
S  0.0224  0.2649  0.4827 (multiplicity 8)
S  0.2142  0.4906  0.4581 (multiplicity 8)

The final energy comes out at -4.3019 eV/atom. The density of states at the Fermi level comes out at 0.4 states/eV/f.u. The uncorrected formation energy comes out at -1106.7 meV/atom.

***

This record from Alexandria describes Ti3InSe after structural relaxation. The functional is PBE-GGA.

a b c (Å): 12.1223 4.8972 6.8745
angles (deg): 90.00 94.99 90.00
Space group C2/m (No. 12)
Asymmetric unit:
Ti  0.0330  0.0000  0.2804 (multiplicity 4)
Ti  0.1656  0.0000  0.9708 (multiplicity 4)
Ti  0.2156  0.5000  0.6926 (multiplicity 4)
In  0.1066  0.5000  0.1379 (multiplicity 4)
Se  0.1557  0.0000  0.5948 (multiplicity 4)

The final energy comes out at -6.2293 eV/atom. The calculation puts the polymorph energy (0 for the lowest one) at 0 meV/atom. The density of states at the Fermi level comes out at 4.5 states/eV/f.u. The uncorrected formation energy comes out at -247.8 meV/atom.

***

This record from Alexandria describes MnBeSe2 after structural relaxation. The functional is PBE-GGA.

a b c (Å): 3.9361 3.9359 6.1183
angles (deg): 90.00 90.24 90.00
Space group Pm (No. 6)
Asymmetric unit:
Mn  0.0000  0.0000  0.0000 (multiplicity 1)
Be  0.5001  0.5000  0.0000 (multiplicity 1)
Se  0.5017  0.0000  0.2375 (multiplicity 1)
Se  0.9985  0.5000  0.7624 (multiplicity 1)

The final energy comes out at -5.3535 eV/atom. The density of states at the Fermi level comes out at 1.0 states/eV/f.u. The uncorrected formation energy comes out at -387.3 meV/atom.

***

This record from Alexandria describes GaCu2Hg after structural relaxation. The functional is PBE-GGA.

a b c (Å): 3.6706 3.6706 18.3681
angles (deg): 90.00 90.00 120.00
Space group R-3m (No. 166, hexagonal axes)
Asymmetric unit:
Ga  0.0000  0.0000  0.0000 (multiplicity 3)
Cu  0.0000  0.0000  0.2615 (multiplicity 6)
Hg  0.0000  0.0000  0.5000 (multiplicity 3)

The final energy comes out at -2.6373 eV/atom. The calculation puts the polymorph energy (0 for the lowest one) at 149 meV/atom. The density of states at the Fermi level comes out at 1.1 states/eV/f.u.